# SrHg2Au (PBE-GGA, optimized geometry)
# - formation enthalpy at 0 K (eV/atom) = -0.42
# - M_tot (μB/f.u.) = 0.0
data_SrHg2Au
_chemical_formula_sum 'Sr1 Hg2 Au1'
_cell_length_a 4.0595
_cell_length_b 4.3729
_cell_length_c 6.6221
_cell_angle_alpha 90.00
_cell_angle_beta 107.14
_cell_angle_gamma 90.00
_symmetry_space_group_name_H-M 'P 1'
_symmetry_Int_Tables_number 1
loop_
_symmetry_equiv_pos_as_xyz
'x,y,z'
loop_
_atom_site_label
_atom_site_fract_x
_atom_site_fract_y
_atom_site_fract_z
Sr1 0.0000 0.0000 0.0000
Hg1 0.3420 0.5000 0.6828
Hg2 0.7405 0.0000 0.4749
Au1 0.5835 0.5000 0.1753

=====

# Sr2Hg8Au3 (PBE-GGA, optimized geometry)
# - formation enthalpy at 0 K (eV/atom) = -0.27
# - M_tot (μB/f.u.) = 0.0
data_Sr2Hg8Au3
_chemical_formula_sum 'Sr2 Hg8 Au3'
_cell_length_a 9.1876
_cell_length_b 9.1876
_cell_length_c 5.4274
_cell_angle_alpha 98.57
_cell_angle_beta 98.57
_cell_angle_gamma 47.86
_symmetry_space_group_name_H-M 'P 1'
_symmetry_Int_Tables_number 1
loop_
_symmetry_equiv_pos_as_xyz
'x,y,z'
loop_
_atom_site_label
_atom_site_fract_x
_atom_site_fract_y
_atom_site_fract_z
Sr1 0.1718 0.1718 0.2417
Sr2 0.8282 0.8282 0.7583
Hg1 0.1388 0.5911 0.2776
Hg2 0.2868 0.2868 0.8006
Hg3 0.4089 0.8612 0.7224
Hg4 0.4549 0.4549 0.7160
Hg5 0.5451 0.5451 0.2840
Hg6 0.5911 0.1388 0.2776
Hg7 0.7132 0.7132 0.1994
Hg8 0.8612 0.4089 0.7224
Au1 0.0000 0.0000 0.5000
Au2 0.1825 0.8175 0.0000
Au3 0.8175 0.1825 0.0000

=====

# Sr3Hg2Au4 (PBE-GGA, optimized geometry)
# - formation enthalpy at 0 K (eV/atom) = -0.65
# - M_tot (μB/f.u.) = 0.0
data_Sr3Hg2Au4
_chemical_formula_sum 'Sr3 Hg2 Au4'
_cell_length_a 6.2744
_cell_length_b 6.2744
_cell_length_c 9.3792
_cell_angle_alpha 111.05
_cell_angle_beta 111.05
_cell_angle_gamma 45.85
_symmetry_space_group_name_H-M 'P 1'
_symmetry_Int_Tables_number 1
loop_
_symmetry_equiv_pos_as_xyz
'x,y,z'
loop_
_atom_site_label
_atom_site_fract_x
_atom_site_fract_y
_atom_site_fract_z
Sr1 0.0000 0.0000 0.0000
Sr2 0.3514 0.3514 0.3151
Sr3 0.6486 0.6486 0.6849
Hg1 0.3545 0.3545 0.6897
Hg2 0.6455 0.6455 0.3103
Au1 0.0752 0.0752 0.4115
Au2 0.2764 0.2764 0.9427
Au3 0.7236 0.7236 0.0573
Au4 0.9248 0.9248 0.5885

=====

# SrHg2Au9 (PBE-GGA, optimized geometry)
# - formation enthalpy at 0 K (eV/atom) = -0.20
# - M_tot (μB/f.u.) = 0.0
data_SrHg2Au9
_chemical_formula_sum 'Sr1 Hg2 Au9'
_cell_length_a 9.7591
_cell_length_b 9.7591
_cell_length_c 9.7591
_cell_angle_alpha 33.87
_cell_angle_beta 33.87
_cell_angle_gamma 33.87
_symmetry_space_group_name_H-M 'P 1'
_symmetry_Int_Tables_number 1
loop_
_symmetry_equiv_pos_as_xyz
'x,y,z'
loop_
_atom_site_label
_atom_site_fract_x
_atom_site_fract_y
_atom_site_fract_z
Sr1 0.0000 0.0000 0.0000
Hg1 0.1416 0.1416 0.1416
Hg2 0.8584 0.8584 0.8584
Au1 0.0807 0.5866 0.5866
Au2 0.3333 0.3333 0.3333
Au3 0.4134 0.4134 0.9193
Au4 0.4134 0.9193 0.4134
Au5 0.5000 0.5000 0.5000
Au6 0.5866 0.0807 0.5866
Au7 0.5866 0.5866 0.0807
Au8 0.6667 0.6667 0.6667
Au9 0.9193 0.4134 0.4134

=====

# Sr5HgAu4 (PBE-GGA, optimized geometry)
# - formation enthalpy at 0 K (eV/atom) = -0.69
# - M_tot (μB/f.u.) = 0.0
data_Sr5HgAu4
_chemical_formula_sum 'Sr5 Hg1 Au4'
_cell_length_a 3.8794
_cell_length_b 3.8794
_cell_length_c 19.3099
_cell_angle_alpha 90.00
_cell_angle_beta 90.00
_cell_angle_gamma 90.00
_symmetry_space_group_name_H-M 'P 1'
_symmetry_Int_Tables_number 1
loop_
_symmetry_equiv_pos_as_xyz
'x,y,z'
loop_
_atom_site_label
_atom_site_fract_x
_atom_site_fract_y
_atom_site_fract_z
Sr1 0.0000 0.0000 0.0000
Sr2 0.0000 0.0000 0.1960
Sr3 0.0000 0.0000 0.3923
Sr4 0.0000 0.0000 0.6077
Sr5 0.0000 0.0000 0.8040
Hg1 0.5000 0.5000 0.5000
Au1 0.5000 0.5000 0.0982
Au2 0.5000 0.5000 0.2956
Au3 0.5000 0.5000 0.7044
Au4 0.5000 0.5000 0.9018

=====

# SrHgAu (PBE-GGA, optimized geometry)
# - formation enthalpy at 0 K (eV/atom) = -0.55
# - M_tot (μB/f.u.) = 0.0
data_SrHgAu
_chemical_formula_sum 'Sr2 Hg2 Au2'
_cell_length_a 5.3128
_cell_length_b 5.8539
_cell_length_c 5.9681
_cell_angle_alpha 90.00
_cell_angle_beta 116.07
_cell_angle_gamma 90.00
_symmetry_space_group_name_H-M 'P 1'
_symmetry_Int_Tables_number 1
loop_
_symmetry_equiv_pos_as_xyz
'x,y,z'
loop_
_atom_site_label
_atom_site_fract_x
_atom_site_fract_y
_atom_site_fract_z
Sr1 0.0336 0.2500 0.2551
Sr2 0.9664 0.7500 0.7449
Hg1 0.3534 0.2500 0.8776
Hg2 0.6466 0.7500 0.1224
Au1 0.2884 0.7500 0.3819
Au2 0.7116 0.2500 0.6181

=====

# SrHg3Au (PBE-GGA, optimized geometry)
# - formation enthalpy at 0 K (eV/atom) = 0.38
# - M_tot (μB/f.u.) = 0.0
# - E above lowest polymorph (eV per atom) = 0.761
data_SrHg3Au
_chemical_formula_sum 'Sr1 Hg3 Au1'
_cell_length_a 6.3780
_cell_length_b 6.3780
_cell_length_c 6.3780
_cell_angle_alpha 90.00
_cell_angle_beta 90.00
_cell_angle_gamma 90.00
_symmetry_space_group_name_H-M 'P 1'
_symmetry_Int_Tables_number 1
loop_
_symmetry_equiv_pos_as_xyz
'x,y,z'
loop_
_atom_site_label
_atom_site_fract_x
_atom_site_fract_y
_atom_site_fract_z
Sr1 0.0000 0.0000 0.0000
Hg1 0.0000 0.0000 0.5000
Hg2 0.0000 0.5000 0.0000
Hg3 0.5000 0.0000 0.0000
Au1 0.5000 0.5000 0.5000

=====

# Sr2Hg5Au4 (PBE-GGA, optimized geometry)
# - formation enthalpy at 0 K (eV/atom) = -0.32
# - M_tot (μB/f.u.) = 0.0
# - E above lowest polymorph (eV per atom) = 0.021
data_Sr2Hg5Au4
_chemical_formula_sum 'Sr2 Hg5 Au4'
_cell_length_a 10.5963
_cell_length_b 9.8880
_cell_length_c 5.7928
_cell_angle_alpha 80.43
_cell_angle_beta 66.95
_cell_angle_gamma 32.62
_symmetry_space_group_name_H-M 'P 1'
_symmetry_Int_Tables_number 1
loop_
_symmetry_equiv_pos_as_xyz
'x,y,z'
loop_
_atom_site_label
_atom_site_fract_x
_atom_site_fract_y
_atom_site_fract_z
Sr1 0.1344 0.1344 0.8656
Sr2 0.8656 0.8656 0.1344
Hg1 0.0000 0.0000 0.5000
Hg2 0.2500 0.2500 0.2500
Hg3 0.5000 0.5000 0.0000
Hg4 0.5000 0.5000 0.5000
Hg5 0.7500 0.7500 0.7500
Au1 0.2178 0.5166 0.4834
Au2 0.4834 0.7822 0.2178
Au3 0.5166 0.2178 0.7822
Au4 0.7822 0.4834 0.5166

=====

In the order shown, the computed calculated volume values come out to 112.33, 335.18, 243.94, 257.26, 290.61, 166.73, 259.45, 284.24 Å³/cell.